A relaxed structure of BaPa2CuP4. Source: the Alexandria database, functional PBE.

Summary:
Formation energy from the elements in eV per atom: -1.0549
Raw total energy in eV/atom: -6.8862
Space-group type: Cmcm

Lattice parameters (Å, degrees): 4.066 7.130 13.555 90.00 90.00 106.57
Fractional positions:
Ba (0.893, 0.786, 0.250)
Ba (0.107, 0.214, 0.750)
P (0.740, 0.479, 0.890)
P (0.000, 0.000, 0.500)
P (0.573, 0.145, 0.250)
P (0.260, 0.521, 0.390)
P (0.740, 0.479, 0.610)
P (0.427, 0.855, 0.750)
P (0.000, 0.000, 0.000)
P (0.260, 0.521, 0.110)
Pa (0.630, 0.261, 0.442)
Pa (0.370, 0.739, 0.942)
Pa (0.630, 0.261, 0.058)
Pa (0.370, 0.739, 0.558)
Cu (0.162, 0.325, 0.250)
Cu (0.838, 0.675, 0.750)


A relaxed structure of LiCaOs2. Source: the Alexandria database, functional PBE.

Summary:
Formation energy from the elements in eV per atom: 0.4951
Offset from the most stable computed form in eV/atom: 0.180
Raw total energy in eV/atom: -6.0986
Space-group type: I4/mmm

Lattice parameters (Å, degrees): 5.433 5.433 5.433 139.69 139.69 58.32
Fractional positions:
Ca (0.250, 0.750, 0.500)
Os (0.500, 0.500, 0.000)
Os (0.000, 0.000, 0.000)
Li (0.750, 0.250, 0.500)


Look up the formation energy from the elements of the first one.
-1.0549 eV per atom


Which of these has the lowest formation energy from the elements?
BaPa2CuP4